1.
The following is a PBE-GGA calculation of a relaxed ScCdBi2H crystal, from Alexandria via LeMat-Bulk.

Calculated values
V ... 110.6 Å³/f.u.
Space group ... P4/mmm (123)

a b c (Å): 4.794 4.794 4.813
angles (deg): 90.00 90.00 90.00
Positions (direct):
Sc (0.000, 0.000, 0.000)
Cd (0.500, 0.500, 0.000)
Bi (0.000, 0.500, 0.500)
Bi (0.500, 0.000, 0.500)
H (0.500, 0.500, 0.500)

---

2.
The following is a PBE-GGA calculation of a relaxed Sr2CdBiH crystal, from Alexandria via LeMat-Bulk.

Calculated values
V ... 135.4 Å³/f.u.
Space group ... P4/mmm (123)

a b c (Å): 5.368 5.368 4.701
angles (deg): 90.00 90.00 90.00
Positions (direct):
Sr (0.000, 0.500, 0.000)
Sr (0.500, 0.000, 0.000)
Cd (0.000, 0.000, 0.500)
Bi (0.500, 0.500, 0.500)
H (0.000, 0.000, 0.000)

---

3.
The following is a PBE-GGA calculation of a relaxed SrCd2BiH crystal, from Alexandria via LeMat-Bulk.

Calculated values
V ... 118.1 Å³/f.u.
Space group ... P4/mmm (123)

a b c (Å): 4.898 4.898 4.924
angles (deg): 90.00 90.00 90.00
Positions (direct):
Sr (0.000, 0.000, 0.000)
Cd (0.000, 0.500, 0.500)
Cd (0.500, 0.000, 0.500)
Bi (0.500, 0.500, 0.000)
H (0.000, 0.000, 0.500)

---

4.
The following is a PBE-GGA calculation of a relaxed SrCdBiH crystal, from Alexandria via LeMat-Bulk.

Calculated values
V ... 108.8 Å³/f.u.
Space group ... R-3m (166)

a b c (Å): 11.303 11.303 11.303
angles (deg): 24.45 24.45 24.45
Positions (direct):
Sr (0.000, 0.000, 0.000)
Sr (0.500, 0.500, 0.500)
Cd (0.240, 0.240, 0.240)
Cd (0.760, 0.760, 0.760)
Bi (0.395, 0.395, 0.395)
Bi (0.605, 0.605, 0.605)
H (0.182, 0.182, 0.182)
H (0.818, 0.818, 0.818)

---

5.
The following is a PBE-GGA calculation of a relaxed Ti2CdBiH crystal, from Alexandria via LeMat-Bulk.

Calculated values
Energy above the lowest structure with this stoichiometry ... 965 meV/atom
V ... 145.6 Å³/f.u.
Space group ... P4/mmm (123)

a b c (Å): 5.140 5.140 5.509
angles (deg): 90.00 90.00 90.00
Positions (direct):
Ti (0.000, 0.500, 0.000)
Ti (0.500, 0.000, 0.000)
Cd (0.000, 0.000, 0.000)
Bi (0.000, 0.000, 0.500)
H (0.500, 0.500, 0.500)

---

6.
The following is a PBE-GGA calculation of a relaxed Ti2CdBiH crystal, from Alexandria via LeMat-Bulk.

Calculated values
Energy above the lowest structure with this stoichiometry ... 0 meV/atom
V ... 98.9 Å³/f.u.
Space group ... P4/mmm (123)

a b c (Å): 5.331 5.331 3.480
angles (deg): 90.00 90.00 90.00
Positions (direct):
Ti (0.000, 0.500, 0.000)
Ti (0.500, 0.000, 0.000)
Cd (0.000, 0.000, 0.000)
Bi (0.500, 0.500, 0.500)
H (0.000, 0.000, 0.500)

---

7.
The following is a PBE-GGA calculation of a relaxed Tl2CdBiH crystal, from Alexandria via LeMat-Bulk.

Calculated values
Energy above the lowest structure with this stoichiometry ... 22 meV/atom
V ... 129.3 Å³/f.u.
Space group ... P4/mmm (123)

a b c (Å): 5.441 5.441 4.370
angles (deg): 90.00 90.00 90.00
Positions (direct):
Tl (0.000, 0.500, 0.000)
Tl (0.500, 0.000, 0.000)
Cd (0.000, 0.000, 0.500)
Bi (0.500, 0.500, 0.500)
H (0.500, 0.500, 0.000)

---

8.
The following is a PBE-GGA calculation of a relaxed Tl2CdBiH crystal, from Alexandria via LeMat-Bulk.

Calculated values
Energy above the lowest structure with this stoichiometry ... 0 meV/atom
V ... 122.7 Å³/f.u.
Space group ... P4/mmm (123)

a b c (Å): 5.076 5.076 4.762
angles (deg): 90.00 90.00 90.00
Positions (direct):
Tl (0.000, 0.500, 0.000)
Tl (0.500, 0.000, 0.000)
Cd (0.000, 0.000, 0.500)
Bi (0.500, 0.500, 0.500)
H (0.000, 0.000, 0.000)

---

| no. | total DFT energy (no corrections) (eV for the cell shown) |
| --- | --- |
| 1 | -17.94 |
| 2 | -14.02 |
| 3 | -11.87 |
| 4 | -23.15 |
| 5 | -15.66 |
| 6 | -20.49 |
| 7 | -11.84 |
| 8 | -11.95 |